Record 1
Entry from the Alexandria database: a geometry-optimized Sr3Ag2P3 structure (GGA-PBE).

Values from the calculation:
total DFT energy (no corrections): -0.1483 hartree per atom
DOS(E_F): 0.346 states/eV per atom

Lattice parameters (Å, degrees): 4.5012 11.5295 15.1476 90.00 90.00 90.00
Space group Cmcm (No. 63)
Unique sites:
Sr (0.0000, 0.0631, 0.2500) (multiplicity 4)
Sr (0.0000, 0.3506, 0.1040) (multiplicity 8)
Ag (0.0000, 0.3634, 0.6125) (multiplicity 8)
P (0.0000, 0.0817, 0.0423) (multiplicity 8)
P (0.0000, 0.2229, 0.7500) (multiplicity 4)



Record 2
Entry from the Alexandria database: a geometry-optimized SrAgP3 structure (GGA-PBE).

Values from the calculation:
total DFT energy (no corrections): -0.1011 hartree per atom
DOS(E_F): 0.555 states/eV per atom

Lattice parameters (Å, degrees): 5.4624 5.4624 5.4624 90.00 90.00 90.00
Space group Pm-3m (No. 221)
Unique sites:
Sr (0.0000, 0.0000, 0.0000) (multiplicity 1)
Ag (0.5000, 0.5000, 0.5000) (multiplicity 1)
P (0.0000, 0.0000, 0.5000) (multiplicity 3)